! Na2CrAgSe | Alexandria | PBE | relaxed; values from VASP
&SYSTEM
  ibrav = 0, nat = 5, ntyp = 4
/
ATOMIC_SPECIES
Na 22.99 Na.upf
Cr 52.00 Cr.upf
Ag 107.87 Ag.upf
Se 78.96 Se.upf
CELL_PARAMETERS angstrom
5.506 0.000 0.000
0.000 5.506 0.000
0.000 0.000 5.003
ATOMIC_POSITIONS angstrom
Na 0.000 2.753 0.000
Na 2.753 0.000 0.000
Cr 0.000 0.000 0.000
Ag 0.000 0.000 2.502
Se 2.753 2.753 2.502
! - final energy (eV per atom) = -3.08